1.
Entry from the Alexandria database: a relaxed structure of CaZnBi2 (GGA-PBE).

Cell: 6.793 6.793 6.793 Å, 103.72 103.72 121.72°
Fractional positions:
Ca 0.000 0.000 0.000
Ca 0.750 0.250 0.500
Zn 0.250 0.750 0.500
Zn 0.500 0.500 0.000
Bi 0.174 0.125 0.549
Bi 0.375 0.826 0.951
Bi 0.576 0.625 0.451
Bi 0.875 0.424 0.049

For the calculated volume, the calculation gives 29.11 Å³/atom. The energy comes out at -3.0679 eV per atom. As for the formation energy: -30 kJ/mol of atoms. For the total magnetic moment, the calculation gives 0.000 μB/cell. As for the crystal system: tetragonal.

2.
Entry from the Alexandria database: a relaxed structure of CaZnBi2 (GGA-PBE).

Cell: 4.915 4.915 4.543 Å, 90.00 90.00 90.00°
Fractional positions:
Ca 0.000 0.000 0.000
Zn 0.500 0.500 0.000
Bi 0.000 0.500 0.500
Bi 0.500 0.000 0.500

For the calculated volume, the calculation gives 27.43 Å³/atom. The energy comes out at -3.0743 eV per atom. As for the formation energy: -30 kJ/mol of atoms. For the total magnetic moment, the calculation gives 0.000 μB/cell. As for the crystal system: tetragonal.

3.
Entry from the Alexandria database: a relaxed structure of Ca3ZnBi3 (GGA-PBE).

Cell: 10.569 10.569 13.309 Å, 90.00 90.00 37.11°
Fractional positions:
Ca 0.045 0.609 0.126
Ca 0.109 0.545 0.626
Ca 0.212 0.788 0.863
Ca 0.288 0.712 0.363
Ca 0.391 0.955 0.126
Ca 0.455 0.891 0.626
Ca 0.545 0.109 0.374
Ca 0.609 0.045 0.874
Ca 0.712 0.288 0.637
Ca 0.788 0.212 0.137
Ca 0.891 0.455 0.374
Ca 0.955 0.391 0.874
Zn 0.086 0.086 0.500
Zn 0.414 0.414 0.000
Zn 0.586 0.586 0.000
Zn 0.914 0.914 0.500
Bi 0.068 0.604 0.373
Bi 0.104 0.568 0.873
Bi 0.232 0.768 0.620
Bi 0.268 0.732 0.120
Bi 0.396 0.932 0.373
Bi 0.432 0.896 0.873
Bi 0.568 0.104 0.127
Bi 0.604 0.068 0.627
Bi 0.732 0.268 0.880
Bi 0.768 0.232 0.380
Bi 0.896 0.432 0.127
Bi 0.932 0.396 0.627

For the calculated volume, the calculation gives 32.04 Å³/atom. The energy comes out at -3.3356 eV per atom. As for the formation energy: -61 kJ/mol of atoms. For the total magnetic moment, the calculation gives 0.000 μB/cell. As for the crystal system: orthorhombic.

4.
Entry from the Alexandria database: a relaxed structure of CaZnBi (GGA-PBE).

Cell: 4.479 5.991 6.720 Å, 76.12 72.17 81.19°
Fractional positions:
Ca 0.136 0.310 0.258
Ca 0.864 0.690 0.742
Zn 0.214 0.818 0.026
Zn 0.786 0.182 0.974
Bi 0.424 0.225 0.684
Bi 0.576 0.775 0.316

For the calculated volume, the calculation gives 27.67 Å³/atom. The energy comes out at -2.7516 eV per atom. As for the formation energy: -35 kJ/mol of atoms. For the total magnetic moment, the calculation gives 0.000 μB/cell. As for the crystal system: triclinic.

5.
Entry from the Alexandria database: a relaxed structure of CaZn2Bi2 (GGA-PBE).

Cell: 8.076 8.076 8.076 Å, 149.42 149.42 43.79°
Fractional positions:
Ca 0.000 0.000 0.000
Zn 0.250 0.750 0.500
Zn 0.750 0.250 0.500
Bi 0.381 0.381 0.000
Bi 0.619 0.619 0.000

For the calculated volume, the calculation gives 27.18 Å³/atom. The energy comes out at -2.6566 eV per atom. As for the formation energy: -19 kJ/mol of atoms. For the total magnetic moment, the calculation gives 0.000 μB/cell. As for the crystal system: tetragonal.

6.
Entry from the Alexandria database: a relaxed structure of Ca3Zn3Bi (GGA-PBE).

Cell: 9.709 9.709 4.582 Å, 90.00 90.00 120.00°
Fractional positions:
Ca 0.098 0.685 0.250
Ca 0.315 0.413 0.250
Ca 0.413 0.098 0.750
Ca 0.587 0.902 0.250
Ca 0.685 0.587 0.750
Ca 0.902 0.315 0.750
Zn 0.036 0.861 0.750
Zn 0.139 0.175 0.750
Zn 0.175 0.036 0.250
Zn 0.825 0.964 0.750
Zn 0.861 0.825 0.250
Zn 0.964 0.139 0.250
Bi 0.333 0.667 0.750
Bi 0.667 0.333 0.250

For the calculated volume, the calculation gives 26.72 Å³/atom. The energy comes out at -2.3638 eV per atom. As for the formation energy: -39 kJ/mol of atoms. For the total magnetic moment, the calculation gives 0.000 μB/cell. As for the crystal system: hexagonal.

7.
Entry from the Alexandria database: a relaxed structure of CaZnBi2 (GGA-PBE).

Cell: 4.072 4.072 6.762 Å, 90.00 90.00 90.00°
Fractional positions:
Ca 0.000 0.000 0.000
Zn 0.000 0.000 0.500
Bi 0.500 0.500 0.264
Bi 0.500 0.500 0.736

For the calculated volume, the calculation gives 28.03 Å³/atom. The energy comes out at -3.0030 eV per atom. As for the formation energy: -24 kJ/mol of atoms. For the total magnetic moment, the calculation gives 0.000 μB/cell. As for the crystal system: tetragonal.

8.
Entry from the Alexandria database: a relaxed structure of Ca3Zn2Bi4 (GGA-PBE).

Cell: 8.681 8.681 7.250 Å, 112.69 112.69 31.31°
Fractional positions:
Ca 0.000 0.000 0.000
Ca 0.134 0.134 0.634
Ca 0.866 0.866 0.366
Zn 0.336 0.336 0.018
Zn 0.664 0.664 0.982
Bi 0.213 0.213 0.232
Bi 0.485 0.485 0.697
Bi 0.515 0.515 0.303
Bi 0.787 0.787 0.768

For the calculated volume, the calculation gives 28.91 Å³/atom. The energy comes out at -3.1922 eV per atom. As for the formation energy: -50 kJ/mol of atoms. The value obtained for the offset from the most stable computed form is 0 meV per atom. For the total magnetic moment, the calculation gives 0.000 μB/cell. As for the crystal system: monoclinic.

9.
Entry from the Alexandria database: a relaxed structure of CaZn2Bi2 (GGA-PBE).

Cell: 6.350 6.350 6.350 Å, 132.50 132.50 69.44°
Fractional positions:
Ca 0.000 0.000 0.000
Zn 0.386 0.386 0.000
Zn 0.614 0.614 0.000
Bi 0.250 0.750 0.500
Bi 0.750 0.250 0.500

For the calculated volume, the calculation gives 27.31 Å³/atom. The energy comes out at -2.6448 eV per atom. As for the formation energy: -18 kJ/mol of atoms. For the total magnetic moment, the calculation gives 0.000 μB/cell. As for the crystal system: tetragonal.

10.
Entry from the Alexandria database: a relaxed structure of CaZn2Bi2 (GGA-PBE).

Cell: 8.479 8.479 3.698 Å, 90.00 90.00 90.00°
Fractional positions:
Ca 0.000 0.000 0.000
Ca 0.500 0.500 0.000
Zn 0.151 0.349 0.500
Zn 0.349 0.849 0.500
Zn 0.651 0.151 0.500
Zn 0.849 0.651 0.500
Bi 0.146 0.646 0.000
Bi 0.354 0.146 0.000
Bi 0.646 0.854 0.000
Bi 0.854 0.354 0.000

For the calculated volume, the calculation gives 26.59 Å³/atom. The energy comes out at -2.5235 eV per atom. As for the formation energy: -6 kJ/mol of atoms. For the total magnetic moment, the calculation gives 0.000 μB/cell. As for the crystal system: tetragonal.

11.
Entry from the Alexandria database: a relaxed structure of CaZnBi3 (GGA-PBE).

Cell: 5.852 5.852 5.852 Å, 90.00 90.00 90.00°
Fractional positions:
Ca 0.000 0.000 0.000
Zn 0.500 0.500 0.500
Bi 0.000 0.000 0.500
Bi 0.000 0.500 0.000
Bi 0.500 0.000 0.000

For the calculated volume, the calculation gives 40.08 Å³/atom. The energy comes out at -2.3873 eV per atom. As for the formation energy: 58 kJ/mol of atoms. The value obtained for the offset from the most stable computed form is 534 meV per atom. For the total magnetic moment, the calculation gives 0.000 μB/cell. As for the crystal system: cubic.

12.
Entry from the Alexandria database: a relaxed structure of Ca3Zn2Bi4 (GGA-PBE).

Cell: 7.257 7.257 9.863 Å, 116.34 116.34 35.71°
Fractional positions:
Ca 0.000 0.000 0.000
Ca 0.362 0.362 0.310
Ca 0.638 0.638 0.690
Zn 0.303 0.303 0.633
Zn 0.697 0.697 0.367
Bi 0.074 0.074 0.386
Bi 0.305 0.305 0.919
Bi 0.695 0.695 0.081
Bi 0.926 0.926 0.614

For the calculated volume, the calculation gives 29.80 Å³/atom. The energy comes out at -3.1279 eV per atom. As for the formation energy: -44 kJ/mol of atoms. The value obtained for the offset from the most stable computed form is 64 meV per atom. For the total magnetic moment, the calculation gives 0.000 μB/cell. As for the crystal system: monoclinic.

13.
Entry from the Alexandria database: a relaxed structure of CaZnBi3 (GGA-PBE).

Cell: 5.474 5.474 5.474 Å, 90.00 90.00 90.00°
Fractional positions:
Ca 0.000 0.000 0.000
Zn 0.500 0.500 0.500
Bi 0.000 0.500 0.500
Bi 0.500 0.000 0.500
Bi 0.500 0.500 0.000

For the calculated volume, the calculation gives 32.80 Å³/atom. The energy comes out at -2.9209 eV per atom. As for the formation energy: 6 kJ/mol of atoms. The value obtained for the offset from the most stable computed form is 0 meV per atom. For the total magnetic moment, the calculation gives 0.000 μB/cell. As for the crystal system: cubic.

14.
Entry from the Alexandria database: a relaxed structure of CaZn3Bi3 (GGA-PBE).

Cell: 7.726 7.726 7.726 Å, 90.00 90.00 90.00°
Fractional positions:
Ca 0.000 0.000 0.000
Ca 0.500 0.500 0.500
Zn 0.000 0.250 0.500
Zn 0.000 0.750 0.500
Zn 0.250 0.500 0.000
Zn 0.500 0.000 0.250
Zn 0.500 0.000 0.750
Zn 0.750 0.500 0.000
Bi 0.000 0.500 0.250
Bi 0.000 0.500 0.750
Bi 0.250 0.000 0.500
Bi 0.500 0.250 0.000
Bi 0.500 0.750 0.000
Bi 0.750 0.000 0.500

For the calculated volume, the calculation gives 32.94 Å³/atom. The energy comes out at -2.3878 eV per atom. As for the formation energy: 10 kJ/mol of atoms. For the total magnetic moment, the calculation gives 0.000 μB/cell. As for the crystal system: cubic.

15.
Entry from the Alexandria database: a relaxed structure of CaZnBi (GGA-PBE).

Cell: 4.621 4.621 4.528 Å, 90.00 90.00 120.00°
Fractional positions:
Ca 0.000 0.000 0.000
Zn 0.333 0.667 0.648
Bi 0.667 0.333 0.458

For the calculated volume, the calculation gives 27.92 Å³/atom. The energy comes out at -2.7857 eV per atom. As for the formation energy: -39 kJ/mol of atoms. For the total magnetic moment, the calculation gives 0.000 μB/cell. As for the crystal system: trigonal.

16.
Entry from the Alexandria database: a relaxed structure of CaZn4Bi (GGA-PBE).

Cell: 5.599 5.599 5.599 Å, 60.00 60.00 60.00°
Fractional positions:
Ca 0.000 0.000 0.000
Zn 0.124 0.625 0.625
Zn 0.625 0.124 0.625
Zn 0.625 0.625 0.124
Zn 0.625 0.625 0.625
Bi 0.250 0.250 0.250

For the calculated volume, the calculation gives 20.68 Å³/atom. The energy comes out at -1.9543 eV per atom. As for the formation energy: -12 kJ/mol of atoms. For the total magnetic moment, the calculation gives 0.000 μB/cell. As for the crystal system: cubic.

17.
Entry from the Alexandria database: a relaxed structure of CaZnBi (GGA-PBE).

Cell: 5.409 5.409 8.031 Å, 107.67 107.67 50.24°
Fractional positions:
Ca 0.000 0.000 0.000
Ca 0.500 0.500 0.500
Zn 0.155 0.155 0.386
Zn 0.845 0.845 0.614
Bi 0.244 0.244 0.770
Bi 0.756 0.756 0.230

For the calculated volume, the calculation gives 28.36 Å³/atom. The energy comes out at -2.7502 eV per atom. As for the formation energy: -35 kJ/mol of atoms. For the total magnetic moment, the calculation gives 0.000 μB/cell. As for the crystal system: monoclinic.

18.
Entry from the Alexandria database: a relaxed structure of Ca5Zn2Bi5 (GGA-PBE).

Cell: 8.704 8.704 11.764 Å, 126.39 126.39 30.97°
Fractional positions:
Ca 0.000 0.000 0.000
Ca 0.100 0.100 0.405
Ca 0.186 0.186 0.818
Ca 0.814 0.814 0.182
Ca 0.900 0.900 0.595
Zn 0.370 0.370 0.809
Zn 0.630 0.630 0.191
Bi 0.253 0.253 0.326
Bi 0.429 0.429 0.124
Bi 0.500 0.500 0.500
Bi 0.571 0.571 0.876
Bi 0.747 0.747 0.674

For the calculated volume, the calculation gives 30.12 Å³/atom. The energy comes out at -3.2464 eV per atom. As for the formation energy: -56 kJ/mol of atoms. For the total magnetic moment, the calculation gives 0.000 μB/cell. As for the crystal system: monoclinic.

19.
Entry from the Alexandria database: a relaxed structure of CaZn2Bi2 (GGA-PBE).

Cell: 7.934 7.934 4.019 Å, 90.00 90.00 90.00°
Fractional positions:
Ca 0.000 0.000 0.000
Ca 0.500 0.500 0.000
Zn 0.114 0.386 0.000
Zn 0.386 0.886 0.000
Zn 0.614 0.114 0.000
Zn 0.886 0.614 0.000
Bi 0.183 0.683 0.500
Bi 0.317 0.183 0.500
Bi 0.683 0.817 0.500
Bi 0.817 0.317 0.500

For the calculated volume, the calculation gives 25.30 Å³/atom. The energy comes out at -2.6537 eV per atom. As for the formation energy: -18 kJ/mol of atoms. For the total magnetic moment, the calculation gives 0.000 μB/cell. As for the crystal system: tetragonal.

20.
Entry from the Alexandria database: a relaxed structure of CaZnBi2 (GGA-PBE).

Cell: 4.646 4.646 10.228 Å, 90.00 90.00 90.00°
Fractional positions:
Ca 0.250 0.250 0.247
Ca 0.750 0.750 0.753
Zn 0.250 0.750 0.000
Zn 0.750 0.250 0.000
Bi 0.250 0.250 0.822
Bi 0.250 0.750 0.500
Bi 0.750 0.250 0.500
Bi 0.750 0.750 0.178

For the calculated volume, the calculation gives 27.60 Å³/atom. The energy comes out at -3.1377 eV per atom. As for the formation energy: -37 kJ/mol of atoms. For the total magnetic moment, the calculation gives 0.000 μB/cell. As for the crystal system: tetragonal.

21.
Entry from the Alexandria database: a relaxed structure of Ca5Zn2Bi (GGA-PBE).

Cell: 9.387 9.387 9.387 Å, 128.75 128.75 75.41°
Fractional positions:
Ca 0.000 0.000 0.000
Ca 0.029 0.529 0.840
Ca 0.189 0.029 0.500
Ca 0.311 0.811 0.840
Ca 0.471 0.311 0.500
Ca 0.500 0.500 0.000
Ca 0.529 0.689 0.500
Ca 0.689 0.189 0.160
Ca 0.811 0.971 0.500
Ca 0.971 0.471 0.160
Zn 0.116 0.384 0.500
Zn 0.384 0.884 0.268
Zn 0.616 0.116 0.732
Zn 0.884 0.616 0.500
Bi 0.250 0.250 0.000
Bi 0.750 0.750 0.000

For the calculated volume, the calculation gives 30.60 Å³/atom. The energy comes out at -2.4540 eV per atom. As for the formation energy: -39 kJ/mol of atoms. For the total magnetic moment, the calculation gives 0.000 μB/cell. As for the crystal system: tetragonal.

22.
Entry from the Alexandria database: a relaxed structure of CaZnBi (GGA-PBE).

Cell: 4.713 5.937 6.809 Å, 82.49 89.91 66.63°
Fractional positions:
Ca 0.118 0.264 0.243
Ca 0.882 0.736 0.757
Zn 0.399 0.702 0.072
Zn 0.601 0.298 0.928
Bi 0.175 0.152 0.732
Bi 0.825 0.848 0.268

For the calculated volume, the calculation gives 28.86 Å³/atom. The energy comes out at -2.8662 eV per atom. As for the formation energy: -46 kJ/mol of atoms. For the total magnetic moment, the calculation gives 0.000 μB/cell. As for the crystal system: triclinic.